Zr2TaHg | PBE | optimized geometry

Lattice parameters (Å, degrees): 5.5015 5.5015 5.5015 134.38 134.38 66.50
With the nearest neighbours (Å) after each atom.
Fractional positions:
Hg 0.5000 0.5000 0.0000  8 Zr 3.02-3.14, 4 Ta 3.14
Ta 0.7500 0.2500 0.5000  8 Zr 3.02-3.14, 4 Hg 3.14
Zr 0.0000 0.0000 0.0000  4 Hg 3.02, 4 Zr 3.14, 4 Ta 3.14
Zr 0.2500 0.7500 0.5000  4 Ta 3.02, 4 Zr 3.14, 4 Hg 3.14

N(E_F): 3.02 states/eV per cell
Energy of formation from the pure elements: 0.2 eV per formula unit